VASP calculation (PBE) on a geometry-optimized InC structure.

Results
Relative energy among the computed polymorphs (meV/atom): 852
Magnetic moment (μB/f.u.): 0.0

Unit cell a=6.838 b=6.838 c=6.838 alpha=94.45 beta=94.45 gamma=147.66
Element x y z (fractional)
In: 0.104 0.718 0.822
In: 0.282 0.104 0.387
In: 0.718 0.896 0.613
In: 0.896 0.282 0.178
C: 0.129 0.299 0.428
C: 0.299 0.871 0.170
C: 0.701 0.129 0.830
C: 0.871 0.701 0.572